# K3Y3GaS8 | Alexandria via LeMat-Bulk | PBE | relaxed
# * symmetry: No. 166
# * energy: -5.406 eV/atom
# * total magnetic moment: 0.00 μB/f.u.
data_K3Y3GaS8
_symmetry_space_group_name_H-M 'P 1'
_symmetry_Int_Tables_number 1
_symmetry_space_group_name_Hall 'P 1'
_cell_length_a 7.8842
_cell_length_b 7.8889
_cell_length_c 8.8133
_cell_angle_alpha 116.62
_cell_angle_beta 90.00
_cell_angle_gamma 119.99
loop_
_atom_site_label
_atom_site_type_symbol
_atom_site_fract_x
_atom_site_fract_y
_atom_site_fract_z
_atom_site_occupancy
S1 S 0.2189 0.9706 0.6896 1
S2 S 0.7517 0.9706 0.6896 1
S3 S 0.7811 0.0294 0.3104 1
S4 S 0.7343 0.4687 0.7030 1
S5 S 0.2185 0.4371 0.6893 1
S6 S 0.2483 0.0294 0.3104 1
S7 S 0.2657 0.5313 0.2970 1
S8 S 0.7815 0.5629 0.3107 1
K1 K 0.0000 0.5000 0.0000 1
K2 K 0.5000 0.5000 0.0000 1
K3 K 0.0000 0.0000 0.0000 1
Y1 Y 0.5000 0.0000 0.5000 1
Y2 Y 0.5000 0.5000 0.5000 1
Y3 Y 0.0000 0.5000 0.5000 1
Ga1 Ga 0.0000 0.0000 0.5000 1

# KYGa2S | Alexandria via LeMat-Bulk | PBE | relaxed
# * symmetry: No. 123
# * energy: -3.339 eV/atom
# * total magnetic moment: 0.00 μB/f.u.
data_KYGa2S
_symmetry_space_group_name_H-M 'P 1'
_symmetry_Int_Tables_number 1
_symmetry_space_group_name_Hall 'P 1'
_cell_length_a 5.0773
_cell_length_b 5.3819
_cell_length_c 5.0773
_cell_angle_alpha 90.00
_cell_angle_beta 90.00
_cell_angle_gamma 90.00
loop_
_atom_site_label
_atom_site_type_symbol
_atom_site_fract_x
_atom_site_fract_y
_atom_site_fract_z
_atom_site_occupancy
K1 K 0.0000 0.5000 0.0000 1
Ga1 Ga 0.0000 0.0000 0.5000 1
Ga2 Ga 0.5000 0.0000 0.0000 1
S1 S 0.0000 0.0000 0.0000 1
Y1 Y 0.5000 0.5000 0.5000 1

# K2ZrGaS5 | Alexandria via LeMat-Bulk | PBE | relaxed
# * symmetry: No. 36
# * energy: -4.918 eV/atom
# * total magnetic moment: 0.73 μB/f.u.
data_K2ZrGaS5
_symmetry_space_group_name_H-M 'P 1'
_symmetry_Int_Tables_number 1
_symmetry_space_group_name_Hall 'P 1'
_cell_length_a 3.6918
_cell_length_b 9.7592
_cell_length_c 13.7717
_cell_angle_alpha 90.00
_cell_angle_beta 90.00
_cell_angle_gamma 100.90
loop_
_atom_site_label
_atom_site_type_symbol
_atom_site_fract_x
_atom_site_fract_y
_atom_site_fract_z
_atom_site_occupancy
S1 S 0.4938 0.9877 0.2934 1
S2 S 0.9388 0.8777 0.5323 1
S3 S 0.5062 0.0123 0.7934 1
S4 S 0.6627 0.3254 0.5043 1
S5 S 0.2970 0.5941 0.6479 1
S6 S 0.3373 0.6746 0.0043 1
S7 S 0.7030 0.4059 0.1479 1
S8 S 0.3122 0.6244 0.3890 1
S9 S 0.0612 0.1223 0.0323 1
S10 S 0.6878 0.3756 0.8890 1
K1 K 0.8760 0.7520 0.1869 1
K2 K 0.1322 0.2644 0.3158 1
K3 K 0.1240 0.2480 0.6869 1
K4 K 0.8678 0.7356 0.8158 1
Zr1 Zr 0.2113 0.4226 0.0233 1
Zr2 Zr 0.7887 0.5774 0.5233 1
Ga1 Ga 0.4324 0.8649 0.4310 1
Ga2 Ga 0.5676 0.1351 0.9310 1